Entry 1:
Material: Th2Al4GeAu3
Method: DFT, PBE
State: relaxed

The space group is P-4m2 (No. 115) and the conventional cell measures 4.4291, 4.4291 and 10.3762 Å, with angles of 90.00, 90.00 and 90.00 degrees. The inequivalent atoms are Th at (0.0000, 0.5000, 0.2467), Al at (0.0000, 0.0000, 0.5000), Al at (0.0000, 0.5000, 0.8692), Al at (0.5000, 0.5000, 0.5000), Ge at (0.5000, 0.5000, 0.0000), Au at (0.0000, 0.0000, 0.0000) and Au at (0.0000, 0.5000, 0.6314).

Its formation energy is -0.6392 eV per atom. The density of states at the Fermi level comes out at 2.793 states/eV/cell.

---

Entry 2:
Material: ErTh3In12
Method: DFT, PBE
State: relaxed

The space group is P4/mmm (No. 123) and the conventional cell measures 4.7221, 4.7221 and 18.7393 Å, with angles of 90.00, 90.00 and 90.00 degrees. The inequivalent atoms are Er at (0.0000, 0.0000, 0.0000), Th at (0.0000, 0.0000, 0.2464), Th at (0.0000, 0.0000, 0.5000), In at (0.0000, 0.5000, 0.1196), In at (0.0000, 0.5000, 0.3733), In at (0.5000, 0.5000, 0.0000), In at (0.5000, 0.5000, 0.2474) and In at (0.5000, 0.5000, 0.5000).

Its formation energy is -0.3564 eV per atom. The density of states at the Fermi level comes out at 6.438 states/eV/cell.

---

Entry 3:
Material: SiGeSe2Br
Method: DFT, PBE
State: relaxed

The space group is P4/mmm (No. 123) and the conventional cell measures 4.9337, 4.9337 and 4.9530 Å, with angles of 90.00, 90.00 and 90.00 degrees. The inequivalent atoms are Si at (0.0000, 0.0000, 0.0000), Ge at (0.5000, 0.5000, 0.5000), Se at (0.0000, 0.5000, 0.0000) and Br at (0.0000, 0.0000, 0.5000).

The calculation puts the offset from the most stable computed form at 0.0000 eV/atom. The uncorrected formation energy is 0.238 eV per atom. The density of states at the Fermi level comes out at 2.181 states/eV/cell.

---

Entry 4:
Material: MgAs2I
Method: DFT, PBE
State: relaxed

The space group is Fm-3m (No. 225) and the conventional cell measures 7.2194, 7.2194 and 7.2194 Å, with angles of 90.00, 90.00 and 90.00 degrees. The inequivalent atoms are Mg at (0.0000, 0.0000, 0.0000), As at (0.2500, 0.2500, 0.2500) and I at (0.0000, 0.0000, 0.5000).

The calculation puts the offset from the most stable computed form at 0.5545 eV/atom. The uncorrected formation energy is 0.474 eV per atom. The density of states at the Fermi level comes out at 17.332 states/eV/cell.

---

Entry 5:
Material: YMnSbBr2
Method: DFT, PBE
State: relaxed

The space group is P4/mmm (No. 123) and the conventional cell measures 4.6541, 4.6541 and 6.1005 Å, with angles of 90.00, 90.00 and 90.00 degrees. The inequivalent atoms are Y at (0.0000, 0.0000, 0.0000), Mn at (0.0000, 0.0000, 0.5000), Sb at (0.5000, 0.5000, 0.0000) and Br at (0.0000, 0.5000, 0.5000).

The uncorrected formation energy is 0.047 eV per atom. The density of states at the Fermi level comes out at 4.736 states/eV/cell.

---

Entry 6:
Material: Ca4TbGa5
Method: DFT, PBE
State: relaxed

The space group is P4/mmm (No. 123) and the conventional cell measures 3.6669, 3.6669 and 18.1447 Å, with angles of 90.00, 90.00 and 90.00 degrees. The inequivalent atoms are Ca at (0.0000, 0.0000, 0.1008), Ca at (0.0000, 0.0000, 0.3009), Tb at (0.0000, 0.0000, 0.5000), Ga at (0.5000, 0.5000, 0.0000), Ga at (0.5000, 0.5000, 0.2005) and Ga at (0.5000, 0.5000, 0.4050).

Its formation energy is -0.4686 eV per atom. The density of states at the Fermi level comes out at 6.001 states/eV/cell.

---

Entry 7:
Material: Li2ScPd7
Method: DFT, PBE
State: relaxed

The space group is Cmmm (No. 65) and the conventional cell measures 7.1701, 12.0535 and 4.2306 Å, with angles of 90.00, 90.00 and 90.00 degrees. The inequivalent atoms are Li at (0.0000, 0.1962, 0.0000), Sc at (0.0000, 0.5000, 0.5000), Pd at (0.0000, 0.0000, 0.0000), Pd at (0.0000, 0.2830, 0.5000) and Pd at (0.1889, 0.3833, 0.0000).

Its formation energy is -0.0012 eV per atom. The density of states at the Fermi level comes out at 18.709 states/eV/cell.

---

Entry 8:
Material: MnAlRe2
Method: DFT, PBE
State: relaxed

The space group is P4/mmm (No. 123) and the conventional cell measures 2.8008, 2.8008 and 6.9778 Å, with angles of 90.00, 90.00 and 90.00 degrees. The inequivalent atoms are Mn at (0.0000, 0.0000, 0.0000), Al at (0.0000, 0.0000, 0.5000) and Re at (0.5000, 0.5000, 0.2360).

Its formation energy is -0.0462 eV per atom. The density of states at the Fermi level comes out at 2.835 states/eV/cell.

---

Entry 9:
Material: CeSi2Ir
Method: DFT, PBE
State: relaxed

The space group is R-3m (No. 166, hexagonal axes) and the conventional cell measures 4.0910, 4.0910 and 15.1657 Å, with angles of 90.00, 90.00 and 120.00 degrees. The inequivalent atoms are Ce at (0.0000, 0.0000, 0.0000), Si at (0.0000, 0.0000, 0.2133) and Ir at (0.0000, 0.0000, 0.5000).

The uncorrected formation energy is -0.911 eV per atom. The density of states at the Fermi level comes out at 8.997 states/eV/cell.

---

Entry 10:
Material: Re3SeO
Method: DFT, PBE
State: relaxed

The space group is Pm-3m (No. 221) and the conventional cell measures 4.1518, 4.1518 and 4.1518 Å, with angles of 90.00, 90.00 and 90.00 degrees. The inequivalent atoms are Re at (0.0000, 0.0000, 0.5000), Se at (0.5000, 0.5000, 0.5000) and O at (0.0000, 0.0000, 0.0000).

The calculation puts the offset from the most stable computed form at 0.0000 eV/atom. The uncorrected formation energy is 0.996 eV per atom. The density of states at the Fermi level comes out at 6.202 states/eV/cell.

---

Entry 11:
Material: CrIn2Si
Method: DFT, PBE
State: relaxed

The space group is P4/mmm (No. 123) and the conventional cell measures 4.3223, 4.3223 and 4.2443 Å, with angles of 90.00, 90.00 and 90.00 degrees. The inequivalent atoms are Cr at (0.0000, 0.0000, 0.0000), In at (0.0000, 0.5000, 0.5000) and Si at (0.5000, 0.5000, 0.0000).

The calculation puts the offset from the most stable computed form at 0.1992 eV/atom. The uncorrected formation energy is 0.422 eV per atom. The density of states at the Fermi level comes out at 2.306 states/eV/cell.

---

Entry 12:
Material: Cd7In3Ag2
Method: DFT, PBE
State: relaxed

The space group is R-3m (No. 166, hexagonal axes) and the conventional cell measures 5.9065, 5.9065 and 28.6563 Å, with angles of 90.00, 90.00 and 120.00 degrees. The inequivalent atoms are Cd at (0.0000, 0.0000, 0.0000), Cd at (0.0036, 0.5018, 0.4176), In at (0.0000, 0.0000, 0.3565), In at (0.0000, 0.0000, 0.5000) and Ag at (0.0000, 0.0000, 0.1669).

Its formation energy is 0.0524 eV per atom. The density of states at the Fermi level comes out at 12.925 states/eV/cell.